The following is a DFT calculation (PBE+U) of a relaxed structure of SrMgFeP2O8. Values from VASP.

Results
ΔE to the lowest computed polymorph = 0.00 eV/f.u.
total moment = 4.00 μB/f.u.
calculated total energy = -7.06 eV per atom

```
&SYSTEM
  ibrav = 0, nat = 26, ntyp = 5
/
ATOMIC_SPECIES
Sr 87.62 Sr.upf
Mg 24.30 Mg.upf
Fe 55.84 Fe.upf
P 30.97 P.upf
O 16.00 O.upf
ATOMIC_POSITIONS angstrom
Sr 0.314 -0.251 3.838
Sr 2.373 3.407 4.722
Mg 2.094 2.158 1.277
Mg 0.593 0.998 7.283
Fe -0.185 5.469 0.487
Fe 2.871 -2.313 8.073
P -0.453 2.929 2.294
P 0.331 -2.681 6.868
P 2.356 5.837 1.692
P 3.140 0.227 6.266
O -1.929 3.317 7.393
O 0.101 2.419 0.909
O -0.979 0.673 6.049
O -0.354 4.466 2.318
O 0.133 -2.244 5.420
O 0.542 2.303 3.307
O 2.102 0.108 1.595
O 0.686 -1.489 7.848
O 2.001 4.645 0.712
O 0.585 3.048 6.965
O 2.145 0.853 5.253
O 2.553 5.400 3.140
O 3.041 -1.311 6.242
O 3.666 2.483 2.511
O 2.586 0.737 7.651
O 4.616 -0.161 1.167
CELL_PARAMETERS angstrom
5.588 0.000 0.000
-0.974 6.718 0.000
-1.927 -3.563 8.560
```